{
  "formula": "Dy2SnPb",
  "functional": "PBE",
  "state": "relaxed",
  "lattice_angstrom": [[-3.0783, -2.1646, -1.3016], [-1.0592, -3.3174, 1.9311], [-6.7495, 2.8005, 5.2143]],
  "species": ["Pb", "Sn", "Dy", "Dy"],
  "fractional_positions": [[0.5000, 0.5000, 0.5000], [0.0000, 0.0000, 0.0000], [0.2527, 0.2527, 0.2420], [0.7473, 0.7473, 0.7580]],
  "spacegroup": "R-3m",
  "polymorph_energy_mev_per_atom": 156,
  "energy_ev_per_cell": -18.69,
  "dos_at_fermi_per_ev_atom": 0.8278,
  "formation_energy_ev_per_fu": -1.77,
  "crystal_system": "trigonal"
}